TbDy2Y2Mg5 (PBE, optimized geometry); formation energy = 0.077 eV/atom; D(E_F) = 16.97 states/eV/cell
1.0
5.0656 0.0000 0.0000
0.0000 10.6036 0.0000
0.0000 0.0000 10.6036
Tb Dy Y Mg
2 4 4 10
Direct
0.0000 0.0000 0.0000 Tb
0.0000 0.5000 0.5000 Tb
0.0000 0.1187 0.6187 Dy
0.0000 0.8813 0.3813 Dy
0.0000 0.6187 0.8813 Dy
0.0000 0.3813 0.1187 Dy
0.0000 0.6784 0.1784 Y
0.0000 0.3216 0.8216 Y
0.0000 0.1784 0.3216 Y
0.0000 0.8216 0.6784 Y
0.5000 0.1976 0.0687 Mg
0.5000 0.8024 0.9313 Mg
0.5000 0.0687 0.8024 Mg
0.5000 0.6976 0.4313 Mg
0.5000 0.9313 0.1976 Mg
0.5000 0.3024 0.5687 Mg
0.5000 0.5687 0.6976 Mg
0.5000 0.4313 0.3024 Mg
0.5000 0.5000 0.0000 Mg
0.5000 0.0000 0.5000 Mg